1.
Crystalline Cs7AuO2 at its relaxed geometry, computed with PBE.

Cell lengths 5.9385, 10.5774, 10.5774 Å; angles 78.08, 90.00, 90.00 degrees
With the nearest neighbours (Å) after each atom.
Fractional coordinates of all 10 atoms:
Cs1 0.5000 0.7163 0.0284  1 O 2.64
Cs2 0.5000 0.2837 0.9716  1 O 2.64
Cs3 0.5000 0.5000 0.5000  2 O 2.98
Cs4 0.0000 0.2916 0.7084  2 O 2.98
Cs5 0.0000 0.7084 0.2916  2 O 2.98
Cs6 0.5000 0.0284 0.7163  1 O 2.64
Cs7 0.5000 0.9716 0.2837  1 O 2.64
O1 0.5000 0.7240 0.2760  2 Cs 2.64
O2 0.5000 0.2760 0.7240  2 Cs 2.64
Au1 0.0000 0.0000 0.0000  10 Cs 3.89-4.19

Calculated values
Uncorrected formation energy, eV per atom: -0.60
Space group: Cmmm (65)
Uncorrected energy, eV for the cell shown: -25.2
Crystal system: orthorhombic


2.
Crystalline CsPd6 at its relaxed geometry, computed with PBE.

Cell lengths 6.2195, 6.2195, 6.2195 Å; angles 109.47, 109.47, 109.47 degrees
With the nearest neighbours (Å) after each atom.
Fractional coordinates of all 7 atoms:
Pd1 0.7500 0.5000 0.2500  4 Pd 2.54
Pd2 0.2500 0.7500 0.5000  4 Pd 2.54
Pd3 0.2500 0.5000 0.7500  4 Pd 2.54
Pd4 0.5000 0.7500 0.2500  4 Pd 2.54
Pd5 0.7500 0.2500 0.5000  4 Pd 2.54
Pd6 0.5000 0.2500 0.7500  4 Pd 2.54
Cs1 0.0000 0.0000 0.0000  24 Pd 4.01

Calculated values
Space group: Im-3m (229)
Uncorrected energy, eV for the cell shown: -28.1
Crystal system: cubic
Formation enthalpy at 0 K, eV/f.u.: 3.9


3.
Crystalline CsSbTe2Cl at its relaxed geometry, computed with PBE.

Cell lengths 7.8276, 7.8276, 7.2031 Å; angles 90.00, 90.00, 90.00 degrees
With the nearest neighbours (Å) after each atom.
Fractional coordinates of all 5 atoms:
Cs1 0.0000 0.0000 0.0000  2 Sb 3.60, 4 Te 3.91
Te1 0.0000 0.5000 0.0000  2 Cs 3.91
Te2 0.5000 0.0000 0.0000  2 Cs 3.91
Sb1 0.0000 0.0000 0.5000  2 Cs 3.60
Cl1 0.5000 0.5000 0.5000  8 Te 5.32, 4 Sb 5.53

Calculated values
Uncorrected formation energy, eV per atom: 1.14
Excess energy over the best structure of this formula in the dataset, eV/f.u.: 4.98
Space group: P4/mmm (123)
Uncorrected energy, eV for the cell shown: -7.4
Crystal system: tetragonal


4.
Crystalline BaGaSn2 at its relaxed geometry, computed with PBE.

Cell lengths 4.8572, 4.3847, 7.1443 Å; angles 107.91, 115.68, 90.02 degrees
With the nearest neighbours (Å) after each atom.
Fractional coordinates of all 4 atoms:
Sn1 0.3510 0.2049 0.8754  2 Ga 2.78
Sn2 0.9308 0.5268 0.5195  2 Ga 2.77-2.90
Ba1 0.2526 0.8950 0.2564  3 Ga 3.41-3.76, 6 Sn 3.59-3.67
Ga1 0.6008 0.6479 0.7614  4 Sn 2.77-2.90

Calculated values
Space group: Cm (8)
Uncorrected energy, eV for the cell shown: -14.4
Crystal system: monoclinic
Formation enthalpy at 0 K, eV/f.u.: -1.4


5.
Crystalline RbTe2ICl at its relaxed geometry, computed with PBE.

Cell lengths 5.3647, 5.3647, 7.8913 Å; angles 90.00, 90.00, 90.00 degrees
With the nearest neighbours (Å) after each atom.
Fractional coordinates of all 5 atoms:
Te1 0.5000 0.0000 0.0000  2 Cl 2.68
Te2 0.0000 0.5000 0.0000  2 Cl 2.68
Cl1 0.0000 0.0000 0.0000  4 Te 2.68
I1 0.0000 0.0000 0.5000  4 Rb 3.79, 2 Cl 3.95
Rb1 0.5000 0.5000 0.5000  4 I 3.79

Calculated values
Uncorrected formation energy, eV per atom: -0.14
Excess energy over the best structure of this formula in the dataset, eV/f.u.: 0.00
Space group: P4/mmm (123)
Uncorrected energy, eV for the cell shown: -11.3
Crystal system: tetragonal


6.
Crystalline MnTl3Pd12 at its relaxed geometry, computed with PBE.

Cell lengths 4.0428, 4.0428, 16.1611 Å; angles 90.00, 90.00, 90.00 degrees
With the nearest neighbours (Å) after each atom.
Fractional coordinates of all 16 atoms:
Pd1 0.0000 0.5000 0.8845  2 Mn 2.75, 8 Pd 2.75-2.88, 2 Tl 2.91
Pd2 0.5000 0.0000 0.1155  8 Pd 2.75-2.88, 2 Mn 2.75, 2 Tl 2.91
Pd3 0.5000 0.5000 0.5000  4 Tl 2.86, 8 Pd 2.90
Pd4 0.5000 0.5000 0.0000  8 Pd 2.75, 4 Mn 2.86
Pd5 0.0000 0.5000 0.3717  8 Pd 2.86-2.91, 4 Tl 2.87-2.90
Pd6 0.5000 0.0000 0.3717  8 Pd 2.86-2.91, 4 Tl 2.87-2.90
Pd7 0.5000 0.0000 0.6283  8 Pd 2.86-2.91, 4 Tl 2.87-2.90
Pd8 0.5000 0.0000 0.8845  8 Pd 2.75-2.88, 2 Mn 2.75, 2 Tl 2.91
Pd9 0.5000 0.5000 0.7577  4 Tl 2.86, 8 Pd 2.88-2.91
Pd10 0.0000 0.5000 0.6283  8 Pd 2.86-2.91, 4 Tl 2.87-2.90
Pd11 0.5000 0.5000 0.2423  4 Tl 2.86, 8 Pd 2.88-2.91
Pd12 0.0000 0.5000 0.1155  8 Pd 2.75-2.88, 2 Mn 2.75, 2 Tl 2.91
Mn1 0.0000 0.0000 0.0000  12 Pd 2.75-2.86
Tl1 0.0000 0.0000 0.5000  12 Pd 2.86-2.90
Tl2 0.0000 0.0000 0.2452  12 Pd 2.86-2.91
Tl3 0.0000 0.0000 0.7548  12 Pd 2.86-2.91

Calculated values
Space group: P4/mmm (123)
Uncorrected energy, eV for the cell shown: -81.7
Crystal system: tetragonal
Formation enthalpy at 0 K, eV/f.u.: -3.1


7.
Crystalline TaI6Br at its relaxed geometry, computed with PBE.

Cell lengths 8.1692, 7.0274, 9.9522 Å; angles 53.94, 60.28, 74.57 degrees
With the nearest neighbours (Å) after each atom.
Fractional coordinates of all 8 atoms:
I1 0.7949 0.9370 0.8798  1 Ta 2.73
I2 0.8895 0.5366 0.3245  1 Br 2.76, 1 Ta 2.85
I3 0.2051 0.0630 0.1202  1 Ta 2.73
I4 0.6965 0.1886 0.1653  1 Ta 2.72
I5 0.1105 0.4634 0.6755  1 Br 2.76, 1 Ta 2.85
I6 0.3035 0.8114 0.8347  1 Ta 2.72
Br1 0.5000 0.5000 0.5000  2 I 2.76
Ta1 0.0000 0.0000 0.0000  6 I 2.72-2.85

Calculated values
Uncorrected formation energy, eV per atom: -0.30
Space group: P-1 (2)
Uncorrected energy, eV for the cell shown: -25.3
Crystal system: triclinic


8.
Crystalline Zr2VNi6 at its relaxed geometry, computed with PBE.

Cell lengths 5.4528, 5.1132, 5.1132 Å; angles 59.99, 89.97, 89.97 degrees
With the nearest neighbours (Å) after each atom.
Fractional coordinates of all 9 atoms:
Ni1 0.6750 0.6537 0.1733  1 V 2.34, 4 Ni 2.45-2.46
Ni2 0.6750 0.1733 0.6537  1 V 2.34, 4 Ni 2.45-2.46
Ni3 0.3250 0.8267 0.3463  1 V 2.34, 4 Ni 2.45-2.46
Ni4 0.3252 0.8267 0.8267  1 V 2.34, 4 Ni 2.45-2.46
Ni5 0.6748 0.1733 0.1733  1 V 2.34, 4 Ni 2.45-2.46
Ni6 0.3250 0.3463 0.8267  1 V 2.34, 4 Ni 2.45-2.46
Zr1 0.8552 0.6667 0.6667  9 Ni 2.74-2.93, 3 V 3.06
Zr2 0.1448 0.3333 0.3333  9 Ni 2.74-2.93, 3 V 3.06
V1 0.0000 0.0000 0.0000  6 Ni 2.34

Calculated values
Space group: P-3m1 (164)
Uncorrected energy, eV for the cell shown: -63.8
Crystal system: trigonal
Formation enthalpy at 0 K, eV/f.u.: -2.9


9.
Crystalline LiTaNi at its relaxed geometry, computed with PBE.

Cell lengths 4.0984, 4.0984, 4.0984 Å; angles 60.00, 60.00, 60.00 degrees
With the nearest neighbours (Å) after each atom.
Fractional coordinates of all 3 atoms:
Ni1 0.5000 0.5000 0.5000  4 Ta 2.51
Ta1 0.7500 0.7500 0.7500  4 Li 2.51, 4 Ni 2.51
Li1 0.0000 0.0000 0.0000  4 Ta 2.51

Calculated values
Excess energy over the best structure of this formula in the dataset, eV/f.u.: 2.12
Space group: F-43m (216)
Uncorrected energy, eV for the cell shown: -17.0
Crystal system: cubic
Formation enthalpy at 0 K, eV/f.u.: 2.5


10.
Crystalline CrTcCl at its relaxed geometry, computed with PBE.

Cell lengths 5.7746, 5.7746, 5.7746 Å; angles 150.79, 150.79, 41.79 degrees
With the nearest neighbours (Å) after each atom.
Fractional coordinates of all 3 atoms:
Tc1 0.6837 0.6837 0.0000  4 Cr 2.53
Cl1 0.9970 0.9970 0.0000  4 Cr 2.81, 4 Tc 2.88, 4 Cl 2.91
Cr1 0.3192 0.3192 0.0000  4 Tc 2.53, 4 Cl 2.81

Calculated values
Uncorrected formation energy, eV per atom: 0.34
Excess energy over the best structure of this formula in the dataset, eV/f.u.: 0.45
Space group: I4mm (107)
Uncorrected energy, eV for the cell shown: -20.8
Crystal system: tetragonal


11.
Crystalline MgAgAu2 at its relaxed geometry, computed with PBE.

Cell lengths 4.7575, 3.0837, 4.8938 Å; angles 90.02, 90.00, 90.00 degrees
With the nearest neighbours (Å) after each atom.
Fractional coordinates of all 4 atoms:
Mg1 0.0000 0.6254 0.4354  8 Au 2.87-2.91, 2 Ag 3.01, 2 Mg 3.08
Au1 0.5000 0.1249 0.3138  4 Ag 2.88-2.91, 4 Mg 2.90, 4 Au 3.00-3.08
Au2 0.0000 0.1250 0.9402  4 Mg 2.87-2.91, 4 Ag 2.90-2.91, 4 Au 3.00-3.08
Ag1 0.5000 0.6247 0.8107  8 Au 2.88-2.91, 2 Mg 3.01, 2 Ag 3.08

Calculated values
Space group: Pmm2 (25)
Uncorrected energy, eV for the cell shown: -12.3
Crystal system: orthorhombic
Formation enthalpy at 0 K, eV/f.u.: -1.3


12.
Crystalline HfFeBr2 at its relaxed geometry, computed with PBE.

Cell lengths 9.4289, 9.4289, 9.4289 Å; angles 20.13, 20.13, 20.13 degrees
With the nearest neighbours (Å) after each atom.
Fractional coordinates of all 4 atoms:
Br1 0.0949 0.0949 0.0949  1 Fe 2.63, 3 Hf 2.75
Br2 0.9051 0.9051 0.9051  1 Fe 2.63, 3 Hf 2.75
Fe1 0.0000 0.0000 0.0000  2 Br 2.63
Hf1 0.5000 0.5000 0.5000  6 Br 2.75

Calculated values
Uncorrected formation energy, eV per atom: 0.01
Excess energy over the best structure of this formula in the dataset, eV/f.u.: 0.00
Space group: R-3m (166)
Uncorrected energy, eV for the cell shown: -21.7
Crystal system: trigonal


Number 1: calculated volume 650.1 Å³ per cell. Number 2: calculated volume 185.2 Å³ per cell. Number 3: calculated volume 441.3 Å³ per cell. Number 4: calculated volume 128.9 Å³ per cell. Number 5: calculated volume 227.1 Å³ per cell. Number 6: calculated volume 264.1 Å³ per cell. Number 7: calculated volume 400.9 Å³ per cell. Number 8: calculated volume 123.4 Å³ per cell. Number 9: calculated volume 48.7 Å³ per cell. Number 10: calculated volume 45.8 Å³ per cell. Number 11: calculated volume 71.8 Å³ per cell. Number 12: calculated volume 86.9 Å³ per cell.